[1]
DFT (GGA-PBE) results for a relaxed ZrInBi crystal.

Summary:
* energy of formation: -205 meV/atom
* symmetry: P4/nmm

Geometry as POSCAR:
```
ZrInBi
1.0
4.160 0.000 0.000
0.000 4.160 0.000
0.000 0.000 8.844
Zr In Bi
2 2 2
direct
0.250 0.250 0.227
0.750 0.750 0.773
0.250 0.750 0.500
0.750 0.250 0.500
0.250 0.250 0.862
0.750 0.750 0.138
```

---

[2]
DFT (GGA-PBE) results for a relaxed CdAs4P crystal.

Summary:
* energy of formation: 606 meV/atom
* symmetry: F-43m

Geometry as POSCAR:
```
CdAs4P
1.0
0.000 3.950 3.950
3.950 0.000 3.950
3.950 3.950 0.000
Cd As P
1 4 1
direct
0.000 0.000 0.000
0.376 0.376 0.376
0.376 0.376 0.873
0.376 0.873 0.376
0.873 0.376 0.376
0.750 0.750 0.750
```

---

[3]
DFT (GGA-PBE) results for a relaxed TcAg2As crystal.

Summary:
* energy of formation: 461 meV/atom
* symmetry: I4/mmm

Geometry as POSCAR:
```
TcAg2As
1.0
-1.892 1.892 4.826
1.892 -1.892 4.826
1.892 1.892 -4.826
Tc Ag As
1 2 1
direct
0.000 0.000 0.000
0.250 0.750 0.500
0.750 0.250 0.500
0.500 0.500 0.000
```

---

[4]
DFT (GGA-PBE) results for a relaxed Pm5Nd2Ho6 crystal.

Summary:
* energy of formation: 95 meV/atom
* symmetry: Pbam

Geometry as POSCAR:
```
Pm5Nd2Ho6
1.0
11.748 0.000 0.000
0.000 20.532 0.000
0.000 0.000 3.602
Pm Nd Ho
10 4 12
direct
0.000 0.000 0.000
0.087 0.278 0.000
0.200 0.552 0.000
0.300 0.052 0.000
0.413 0.778 0.000
0.500 0.500 0.000
0.587 0.222 0.000
0.700 0.948 0.000
0.800 0.448 0.000
0.913 0.722 0.000
0.172 0.717 0.500
0.328 0.217 0.500
0.672 0.783 0.500
0.828 0.283 0.500
0.061 0.423 0.500
0.076 0.135 0.500
0.180 0.871 0.000
0.320 0.371 0.000
0.424 0.635 0.500
0.439 0.923 0.500
0.561 0.077 0.500
0.576 0.365 0.500
0.680 0.629 0.000
0.820 0.129 0.000
0.924 0.865 0.500
0.939 0.577 0.500
```

---

[5]
DFT (GGA-PBE) results for a relaxed ZrMnCoCu crystal.

Summary:
* energy of formation: -58 meV/atom
* symmetry: F-43m

Geometry as POSCAR:
```
ZrMnCoCu
1.0
0.000 3.095 3.095
3.095 0.000 3.095
3.095 3.095 0.000
Zr Mn Co Cu
1 1 1 1
direct
0.000 0.000 0.000
0.500 0.500 0.500
0.250 0.250 0.250
0.750 0.750 0.750
```

---

[6]
DFT (GGA-PBE) results for a relaxed ReOs crystal.

Summary:
* energy of formation: -61 meV/atom
* energy above the lowest structure with this stoichiometry: 0.032 eV per atom
* symmetry: P-6m2

Geometry as POSCAR:
```
ReOs
1.0
2.769 0.000 0.000
-1.385 2.398 0.000
0.000 0.000 4.397
Re Os
1 1
direct
0.000 0.000 0.000
0.667 0.333 0.500
```